The following is a DFT calculation (PBE with a Hubbard U) of Tl4VF5 after structural relaxation.

a b c (Å): 8.3024 8.3024 6.1195
angles (deg): 90.00 90.00 90.00
With the nearest neighbours (Å) after each atom.
Space group I4 (No. 79)
Inequivalent atoms, fractional coordinates:
Tl  0.0020  0.2909  0.0000 x8  5 F 2.77-2.89
V  0.0000  0.0000  0.5940 x2  5 F 2.05-2.13
F  0.0000  0.0000  0.2587 x2  1 V 2.05
F  0.1794  0.1807  0.6292 x8  1 V 2.13

Properties
Density of states at the Fermi level   2.4 states/eV/f.u.
Final energy   -4.341 eV per atom
Crystal system   tetragonal
Theoretical density   7586 kg/m³